# 1
The following is a PBE calculation of crystalline CaTmRh2 at its relaxed geometry, from Alexandria via LeMat-Bulk.

Computed properties:
As for the crystal system: tetragonal. The calculated volume is 19.7 A^3/atom. The energy of formation comes out at -0.7006 eV/atom.

Unit cell a=3.3861 b=3.3861 c=6.8872 alpha=90.00 beta=90.00 gamma=90.00
Last column: nearest neighbours and their distance in Å.
Fractional positions:
Ca 0.0000 0.0000 0.0000  8 Rh 3.03, 4 Ca 3.39
Tm 0.0000 0.0000 0.5000  8 Rh 2.87
Rh 0.5000 0.5000 0.2701  4 Tm 2.87, 4 Ca 3.03, 1 Rh 3.17
Rh 0.5000 0.5000 0.7299  4 Tm 2.87, 4 Ca 3.03, 1 Rh 3.17

***

# 2
The following is a PBE calculation of crystalline LiRh2F6 at its relaxed geometry, from Alexandria via LeMat-Bulk.

Computed properties:
As for the crystal system: trigonal. The calculated volume is 12.6 A^3/atom. The value obtained for the uncorrected formation energy is -1630 meV per atom.

Unit cell a=5.4776 b=5.4776 c=4.3536 alpha=90.00 beta=90.00 gamma=120.00
Last column: nearest neighbours and their distance in Å.
Fractional positions:
Li 0.0000 0.0000 0.0000  6 F 2.19
Rh 0.3333 0.6667 0.5000  6 F 2.08
Rh 0.6667 0.3333 0.5000  6 F 2.08
F 0.0000 0.3417 0.7403  2 Rh 2.08, 1 Li 2.19
F 0.0000 0.6583 0.2597  2 Rh 2.08, 1 Li 2.19
F 0.3417 0.0000 0.7403  2 Rh 2.08, 1 Li 2.19
F 0.3417 0.3417 0.2597  2 Rh 2.08, 1 Li 2.19
F 0.6583 0.0000 0.2597  2 Rh 2.08, 1 Li 2.19
F 0.6583 0.6583 0.7403  2 Rh 2.08, 1 Li 2.19

***

# 3
The following is a PBE calculation of crystalline LiTb2I6 at its relaxed geometry, from Alexandria via LeMat-Bulk.

Computed properties:
As for the crystal system: monoclinic. The calculated volume is 42.7 A^3/atom. The value obtained for the energy above the most stable polymorph in this dataset is 0.0000 eV per atom. The value obtained for the uncorrected formation energy is -1276 meV per atom.

Unit cell a=8.8722 b=8.8722 c=11.5573 alpha=112.10 beta=112.10 gamma=27.29
Last column: nearest neighbours and their distance in Å.
Fractional positions:
Li 0.0000 0.0000 0.0000  6 I 2.97-3.21
Tb 0.3405 0.3405 0.6747  6 I 2.97-3.16
Tb 0.6595 0.6595 0.3253  6 I 2.97-3.16
I 0.0223 0.0223 0.2885  2 Tb 3.06, 1 Li 3.21
I 0.3049 0.3049 0.3854  3 Tb 3.13-3.16
I 0.3687 0.3687 0.9454  2 Li 2.97, 1 Tb 2.97
I 0.6313 0.6313 0.0546  2 Li 2.97, 1 Tb 2.97
I 0.6951 0.6951 0.6146  3 Tb 3.13-3.16
I 0.9777 0.9777 0.7115  2 Tb 3.06, 1 Li 3.21

***

# 4
The following is a PBE calculation of crystalline CaIn6Cu6 at its relaxed geometry, from Alexandria via LeMat-Bulk.

Computed properties:
As for the crystal system: orthorhombic. The calculated volume is 18.2 A^3/atom. The energy of formation comes out at -0.1033 eV/atom.

Unit cell a=7.1179 b=7.1179 c=7.1179 alpha=134.52 beta=98.79 gamma=98.39
Last column: nearest neighbours and their distance in Å.
Fractional positions:
Ca 0.0000 0.0000 0.0000  8 In 3.14-3.23
In 0.1820 0.6820 0.5000  6 Cu 2.77-2.78
In 0.3386 0.0000 0.3386  6 Cu 2.82-2.90, 1 In 2.99, 1 Ca 3.14
In 0.3420 0.3420 0.0000  6 Cu 2.83, 3 In 2.94-3.13
In 0.6580 0.6580 0.0000  6 Cu 2.83, 3 In 2.94-3.13
In 0.6614 0.0000 0.6614  6 Cu 2.82-2.90, 1 In 2.99, 1 Ca 3.14
In 0.8180 0.3180 0.5000  6 Cu 2.77-2.78
Cu 0.0000 0.0000 0.5000  4 Cu 2.70-2.75, 6 In 2.77-2.83
Cu 0.0000 0.5000 0.0000  4 Cu 2.70-2.75, 6 In 2.77-2.83
Cu 0.2386 0.5000 0.7386  4 Cu 2.70, 6 In 2.78-2.90
Cu 0.5000 0.0000 0.0000  4 Cu 2.70-2.75, 6 In 2.77-2.83
Cu 0.5000 0.5000 0.5000  4 Cu 2.70-2.75, 6 In 2.77-2.83
Cu 0.7614 0.5000 0.2614  4 Cu 2.70, 6 In 2.78-2.90

***

# 5
The following is a PBE calculation of crystalline KLaY at its relaxed geometry, from Alexandria via LeMat-Bulk.

Computed properties:
As for the crystal system: cubic. The calculated volume is 50.5 A^3/atom. The value obtained for the energy above the most stable polymorph in this dataset is 0.8596 eV per atom. The energy of formation comes out at 1.0933 eV/atom.

Unit cell a=5.9842 b=5.9842 c=5.9842 alpha=60.00 beta=60.00 gamma=60.00
Last column: nearest neighbours and their distance in Å.
Fractional positions:
K 0.0000 0.0000 0.0000  4 Y 3.66
La 0.5000 0.5000 0.5000  4 Y 3.66
Y 0.2500 0.2500 0.2500  4 La 3.66, 4 K 3.66

***

# 6
The following is a PBE calculation of crystalline Na2LiAc2Pb4 at its relaxed geometry, from Alexandria via LeMat-Bulk.

Computed properties:
As for the crystal system: tetragonal. The calculated volume is 30.3 A^3/atom. The energy of formation comes out at -0.3229 eV/atom.

Unit cell a=7.2052 b=7.2052 c=7.2052 alpha=117.73 beta=117.73 gamma=93.98
Last column: nearest neighbours and their distance in Å.
Fractional positions:
Na 0.2160 0.2160 0.0000  1 Li 2.79
Na 0.7840 0.7840 0.0000  1 Li 2.79
Li 0.5000 0.5000 0.0000  4 Pb 2.78, 2 Na 2.79
Ac 0.2500 0.7500 0.5000  8 Pb 3.61, 4 Na 3.74
Ac 0.7500 0.2500 0.5000  8 Pb 3.61, 4 Na 3.74
Pb 0.2360 0.2360 0.4720  1 Li 2.78
Pb 0.2360 0.7640 0.0000  1 Li 2.78
Pb 0.7640 0.2360 0.0000  1 Li 2.78
Pb 0.7640 0.7640 0.5280  1 Li 2.78

***

Q: The lowest calculated volume belongs to which entry?
A: LiRh2F6

***

Q: Which of these has the lowest calculated volume?
A: LiRh2F6

***

Q: calculated volume of number 1 (CaTmRh2)?
A: 19.7 A^3/atom